{"formula": "K2TaV3O12", "functional": "GGA+U", "state": "optimized geometry", "lattice": [[-0.8593, -6.2965, -3.4312], [5.4528, -3.0192, -3.6482], [3.2031, -6.0100, 2.4036]], "species": ["V", "V", "V", "K", "K", "O", "O", "O", "O", "O", "O", "O", "O", "O", "O", "O", "O", "Ta"], "fractional_positions": [[0.5000, 0.0000, 0.0000], [0.0000, 0.5000, 0.0000], [0.0000, 0.0000, 0.5000], [0.6235, 0.6235, 0.6235], [0.3765, 0.3765, 0.3765], [0.3087, 0.9352, 0.3087], [0.9352, 0.3087, 0.3087], [0.9321, 0.3277, 0.9321], [0.6913, 0.6913, 0.0648], [0.6913, 0.0648, 0.6913], [0.0679, 0.0679, 0.6723], [0.3277, 0.9321, 0.9321], [0.0648, 0.6913, 0.6913], [0.6723, 0.0679, 0.0679], [0.0679, 0.6723, 0.0679], [0.3087, 0.3087, 0.9352], [0.9321, 0.9321, 0.3277], [0.0000, 0.0000, 0.0000]], "m_tot_mub_per_fu": 2.106, "sg": "No. 166", "total_energy_ev_per_atom": -7.180, "density_g_cm3": 3.85}